# Cd2Sb2Cl | Alexandria via LeMat-Bulk | SCAN | single point on PBEsol structure
data_Cd2Sb2Cl
_symmetry_space_group_name_H-M 'I 4/m m m'
_symmetry_Int_Tables_number 139
_symmetry_space_group_name_Hall '-I 4 2'
_cell_length_a 5.5813
_cell_length_b 5.5813
_cell_length_c 8.7612
_cell_angle_alpha 90.00
_cell_angle_beta 90.00
_cell_angle_gamma 90.00
loop_
_atom_site_label
_atom_site_type_symbol
_atom_site_fract_x
_atom_site_fract_y
_atom_site_fract_z
Cd1 Cd 0.0000 0.5000 0.2500
Sb1 Sb 0.0000 0.0000 0.1619
Cl1 Cl 0.0000 0.0000 0.5000
# Crystal system: tetragonal
# Formation energy without anion corrections, eV/atom: -0.141
# Final energy, eV per atom: -28.806
# N(E_F), states/eV/atom: 0.454

---

# Cd2SbCl | Alexandria via LeMat-Bulk | SCAN | single point on PBEsol structure
data_Cd2SbCl
_symmetry_space_group_name_H-M 'I -4 2 d'
_symmetry_Int_Tables_number 122
_symmetry_space_group_name_Hall 'I -4 2bw'
_cell_length_a 6.3076
_cell_length_b 6.3076
_cell_length_c 13.7509
_cell_angle_alpha 90.00
_cell_angle_beta 90.00
_cell_angle_gamma 90.00
loop_
_atom_site_label
_atom_site_type_symbol
_atom_site_fract_x
_atom_site_fract_y
_atom_site_fract_z
Cd1 Cd 0.2340 0.2500 0.1250
Sb1 Sb 0.0000 0.0000 0.0000
Cl1 Cl 0.0000 0.0000 0.5000
# Crystal system: tetragonal
# Formation energy without anion corrections, eV/atom: -0.428
# Final energy, eV per atom: -26.945
# N(E_F), states/eV/atom: 0.001

---

# Cd2SbCl | Alexandria via LeMat-Bulk | SCAN | single point on PBEsol structure
data_Cd2SbCl
_symmetry_space_group_name_H-M 'P m m m'
_symmetry_Int_Tables_number 47
_cell_length_a 3.8717
_cell_length_b 4.4286
_cell_length_c 5.7394
_cell_angle_alpha 90.00
_cell_angle_beta 90.00
_cell_angle_gamma 90.00
loop_
_symmetry_equiv_pos_as_xyz
'x,y,z'
'-x,-y,-z'
'-x,-y,z'
'x,y,-z'
'x,-y,-z'
'-x,y,z'
'-x,y,-z'
'x,-y,z'
loop_
_atom_site_label
_atom_site_type_symbol
_atom_site_fract_x
_atom_site_fract_y
_atom_site_fract_z
Cd1 Cd 0.0000 0.0000 0.0000
Cd2 Cd 0.5000 0.5000 0.5000
Sb1 Sb 0.0000 0.0000 0.5000
Cl1 Cl 0.5000 0.5000 0.0000
# Crystal system: orthorhombic
# Formation energy without anion corrections, eV/atom: -0.416
# Final energy, eV per atom: -26.933
# N(E_F), states/eV/atom: 0.280

---

# CdSbCl | Alexandria via LeMat-Bulk | SCAN | single point on PBEsol structure
data_CdSbCl
_symmetry_space_group_name_H-M 'F -4 3 m'
_symmetry_Int_Tables_number 216
_symmetry_space_group_name_Hall 'F -4 2 3'
_cell_length_a 6.9472
_cell_length_b 6.9472
_cell_length_c 6.9472
_cell_angle_alpha 90.00
_cell_angle_beta 90.00
_cell_angle_gamma 90.00
loop_
_atom_site_label
_atom_site_type_symbol
_atom_site_fract_x
_atom_site_fract_y
_atom_site_fract_z
Cd1 Cd 0.0000 0.0000 0.0000
Sb1 Sb 0.2500 0.2500 0.7500
Cl1 Cl 0.0000 0.0000 0.5000
# Crystal system: cubic
# Formation energy without anion corrections, eV/atom: 0.118
# Final energy, eV per atom: -25.100
# N(E_F), states/eV/atom: 1.466

---

Copy entry 3 word for word.
# Cd2SbCl | Alexandria via LeMat-Bulk | SCAN | single point on PBEsol structure
data_Cd2SbCl
_symmetry_space_group_name_H-M 'P m m m'
_symmetry_Int_Tables_number 47
_cell_length_a 3.8717
_cell_length_b 4.4286
_cell_length_c 5.7394
_cell_angle_alpha 90.00
_cell_angle_beta 90.00
_cell_angle_gamma 90.00
loop_
_symmetry_equiv_pos_as_xyz
'x,y,z'
'-x,-y,-z'
'-x,-y,z'
'x,y,-z'
'x,-y,-z'
'-x,y,z'
'-x,y,-z'
'x,-y,z'
loop_
_atom_site_label
_atom_site_type_symbol
_atom_site_fract_x
_atom_site_fract_y
_atom_site_fract_z
Cd1 Cd 0.0000 0.0000 0.0000
Cd2 Cd 0.5000 0.5000 0.5000
Sb1 Sb 0.0000 0.0000 0.5000
Cl1 Cl 0.5000 0.5000 0.0000
# Crystal system: orthorhombic
# Formation energy without anion corrections, eV/atom: -0.416
# Final energy, eV per atom: -26.933
# N(E_F), states/eV/atom: 0.280

---

Copy entry 4 word for word.
# CdSbCl | Alexandria via LeMat-Bulk | SCAN | single point on PBEsol structure
data_CdSbCl
_symmetry_space_group_name_H-M 'F -4 3 m'
_symmetry_Int_Tables_number 216
_symmetry_space_group_name_Hall 'F -4 2 3'
_cell_length_a 6.9472
_cell_length_b 6.9472
_cell_length_c 6.9472
_cell_angle_alpha 90.00
_cell_angle_beta 90.00
_cell_angle_gamma 90.00
loop_
_atom_site_label
_atom_site_type_symbol
_atom_site_fract_x
_atom_site_fract_y
_atom_site_fract_z
Cd1 Cd 0.0000 0.0000 0.0000
Sb1 Sb 0.2500 0.2500 0.7500
Cl1 Cl 0.0000 0.0000 0.5000
# Crystal system: cubic
# Formation energy without anion corrections, eV/atom: 0.118
# Final energy, eV per atom: -25.100
# N(E_F), states/eV/atom: 1.466